one.
First-principles (PBE-GGA) data for crystalline NbN2ClF at its relaxed geometry, as listed in Alexandria via LeMat-Bulk.

Values from the calculation:
The spin magnetization comes out at 1.348 Bohr magnetons per cell. As for the space-group type: P4/mmm, No. 123. As for the density of states at the Fermi level: 2.5 states/eV/cell.

Lattice parameters (Å, degrees): 3.970 3.970 3.817 90.00 90.00 90.00
Atoms (fractional coordinates):
Nb1 0.000 0.000 0.000
N1 0.000 0.500 0.500
N2 0.500 0.000 0.500
Cl1 0.500 0.500 0.500
F1 0.500 0.500 0.000

***

two.
First-principles (PBE-GGA) data for crystalline NbN2ClF at its relaxed geometry, as listed in Alexandria via LeMat-Bulk.

Values from the calculation:
The spin magnetization comes out at 0.000 Bohr magnetons per cell. As for the space-group type: P4/mmm, No. 123. As for the density of states at the Fermi level: 4.0 states/eV/cell.

Lattice parameters (Å, degrees): 4.125 4.125 4.136 90.00 90.00 90.00
Atoms (fractional coordinates):
Nb1 0.000 0.000 0.000
N1 0.000 0.500 0.000
N2 0.500 0.000 0.000
Cl1 0.500 0.500 0.500
F1 0.000 0.000 0.500

***

We find two to be the most stable, with the next structure 1.593 eV/atom higher.